Version a
TlZnAgPtSe | PBE | relaxed

Summary:
ρ = 9.630 Mg/m³
Total magnetic moment = 0.00 μB per formula unit
DOS at the Fermi energy = 2.8 states/eV/cell

a = 9.507 Å, b = 4.013 Å, c = 6.389 Å
α = 90.00°, β = 112.75°, γ = 90.00°
Space group Cm (No. 8)
Asymmetric unit:
Tl (0.000, 0.000, 0.000)
Zn (0.098, 0.500, 0.691)
Ag (0.284, 0.500, 0.223)
Pt (0.257, 0.000, 0.883)
Se (0.317, 0.000, 0.523)


Version b
TlZnAgPtSe | PBE | relaxed

Summary:
ρ = 9.872 Mg/m³
Total magnetic moment = 0.00 μB per formula unit
DOS at the Fermi energy = 0.6 states/eV/cell

a = 3.959 Å, b = 4.455 Å, c = 6.820 Å
α = 105.49°, β = 105.88°, γ = 95.49°
Space group P1 (No. 1)
Asymmetric unit:
Tl (0.000, 0.000, 0.000)
Zn (0.262, 0.619, 0.586)
Ag (0.735, 0.222, 0.629)
Pt (0.435, 0.521, 0.950)
Se (0.658, 0.646, 0.360)


Version c
TlZnAgPtSe | PBE | relaxed

Summary:
ρ = 9.771 Mg/m³
Total magnetic moment = 0.00 μB per formula unit
DOS at the Fermi energy = 1.6 states/eV/cell

a = 3.963 Å, b = 4.653 Å, c = 6.439 Å
α = 68.90°, β = 88.97°, γ = 89.26°
Space group P1 (No. 1)
Asymmetric unit:
Tl (0.000, 0.000, 0.000)
Zn (0.525, 0.495, 0.347)
Ag (0.506, 0.567, 0.912)
Pt (0.017, 0.547, 0.601)
Se (0.028, 0.111, 0.454)


version b is the most stable structure; the next one sits 22 meV per atom above it.


Version a
TlZnAgPtSe | PBE | relaxed

Summary:
ρ = 9.968 Mg/m³
Total magnetic moment = 0.00 μB per formula unit
DOS at the Fermi energy = 1.1 states/eV/cell

a = 3.975 Å, b = 4.499 Å, c = 6.538 Å
α = 77.65°, β = 72.35°, γ = 89.90°
Space group P1 (No. 1)
Asymmetric unit:
Tl (0.000, 0.000, 0.000)
Zn (0.821, 0.402, 0.357)
Ag (0.273, 0.996, 0.454)
Pt (0.460, 0.456, 0.077)
Se (0.669, 0.672, 0.663)


Version b
TlZnAgPtSe | PBE | relaxed

Summary:
ρ = 9.892 Mg/m³
Total magnetic moment = 0.00 μB per formula unit
DOS at the Fermi energy = 1.1 states/eV/cell

a = 5.165 Å, b = 4.072 Å, c = 5.514 Å
α = 90.00°, β = 109.39°, γ = 90.00°
Space group Pm (No. 6)
Asymmetric unit:
Tl (0.000, 0.000, 0.000)
Zn (0.519, 0.000, 0.492)
Ag (0.672, 0.500, 0.225)
Pt (0.015, 0.000, 0.507)
Se (0.351, 0.500, 0.730)


version a is the most stable structure; the next one sits 35 meV per atom above it.


Version a
TlZnAgPtSe | PBE | relaxed

Summary:
ρ = 9.233 Mg/m³
Total magnetic moment = 0.00 μB per formula unit
DOS at the Fermi energy = 3.5 states/eV/cell

a = 7.686 Å, b = 4.414 Å, c = 7.365 Å
α = 90.00°, β = 110.25°, γ = 90.00°
Space group Cm (No. 8)
Asymmetric unit:
Tl (0.000, 0.000, 0.000)
Zn (0.288, 0.500, 0.360)
Ag (0.021, 0.500, 0.562)
Pt (0.132, 0.000, 0.393)
Se (0.257, 0.000, 0.766)


Version b
TlZnAgPtSe | PBE | relaxed

Summary:
ρ = 9.642 Mg/m³
Total magnetic moment = 0.00 μB per formula unit
DOS at the Fermi energy = 1.9 states/eV/cell

a = 5.605 Å, b = 3.523 Å, c = 6.249 Å
α = 90.00°, β = 114.54°, γ = 90.00°
Space group Pm (No. 6)
Asymmetric unit:
Tl (0.000, 0.000, 0.000)
Zn (0.098, 0.500, 0.510)
Ag (0.471, 0.500, 0.935)
Pt (0.451, 0.000, 0.573)
Se (0.627, 0.500, 0.390)


Version c
TlZnAgPtSe | PBE | relaxed

Summary:
ρ = 8.828 Mg/m³
Total magnetic moment = 0.00 μB per formula unit
DOS at the Fermi energy = 1.2 states/eV/cell

a = 4.172 Å, b = 3.819 Å, c = 7.963 Å
α = 90.00°, β = 104.92°, γ = 90.00°
Space group Pm (No. 6)
Asymmetric unit:
Tl (0.000, 0.000, 0.000)
Zn (0.341, 0.500, 0.690)
Ag (0.645, 0.000, 0.293)
Pt (0.505, 0.500, 0.010)
Se (0.247, 0.000, 0.501)


version a is the most stable structure; the next one sits 62 meV per atom above it.


Version a
SiAgPt | PBE | relaxed

Summary:
ρ = 11.291 Mg/m³
Total magnetic moment = 0.00 μB per formula unit
DOS at the Fermi energy = 1.1 states/eV/cell

a = 2.9904 Å, b = 2.9904 Å, c = 6.2865 Å
α = 90.00°, β = 90.00°, γ = 120.00°
Space group P3m1 (No. 156)
Asymmetric unit:
Si (0.0000, 0.0000, 0.0000)
Ag (0.6667, 0.3333, 0.3419)
Pt (0.3333, 0.6667, 0.7256)


Version b
SiAgPt | PBE | relaxed

Summary:
ρ = 11.366 Mg/m³
Total magnetic moment = 0.00 μB per formula unit
DOS at the Fermi energy = 1.9 states/eV/cell

a = 3.172 Å, b = 3.172 Å, c = 9.613 Å
α = 90.00°, β = 90.00°, γ = 90.00°
Space group I4mm (No. 107)
Asymmetric unit:
Si (0.000, 0.000, 0.000)
Ag (0.000, 0.000, 0.314)
Pt (0.000, 0.000, 0.613)


version b is the most stable structure; the next one sits 72 meV per atom above it.


Version a
SiAg3Pt | PBE | relaxed

Summary:
ρ = 9.022 Mg/m³
Total magnetic moment = 0.00 μB per formula unit
DOS at the Fermi energy = 4.0 states/eV/cell

a = 4.651 Å, b = 4.651 Å, c = 4.651 Å
α = 90.00°, β = 90.00°, γ = 90.00°
Space group Pm-3m (No. 221)
Asymmetric unit:
Si (0.000, 0.000, 0.000)
Ag (0.000, 0.000, 0.500)
Pt (0.500, 0.500, 0.500)


Version b
SiAg3Pt | PBE | relaxed

Summary:
ρ = 6.997 Mg/m³
Total magnetic moment = 0.00 μB per formula unit
DOS at the Fermi energy = 2.2 states/eV/cell

a = 5.063 Å, b = 5.063 Å, c = 5.063 Å
α = 90.00°, β = 90.00°, γ = 90.00°
Space group Pm-3m (No. 221)
Asymmetric unit:
Si (0.000, 0.000, 0.000)
Ag (0.000, 0.500, 0.500)
Pt (0.500, 0.500, 0.500)


version a is the most stable structure; the next one sits 378 meV per atom above it.


Version a
Sm3Ag2Pt | PBE | relaxed

Summary:
ρ = 8.587 Mg/m³
Total magnetic moment = 0.00 μB per formula unit
DOS at the Fermi energy = 17.3 states/eV/cell

a = 14.024 Å, b = 6.009 Å, c = 8.281 Å
α = 90.00°, β = 107.18°, γ = 90.00°
Space group C2/c (No. 15)
Asymmetric unit:
Sm (0.000, 0.001, 0.250)
Sm (0.147, 0.499, 0.074)
Ag (0.177, 0.001, 0.588)
Pt (0.000, 0.499, 0.750)


Version b
Sm3Ag2Pt | PBE | relaxed

Summary:
ρ = 9.784 Mg/m³
Total magnetic moment = 0.00 μB per formula unit
DOS at the Fermi energy = 3.6 states/eV/cell

a = 5.1620 Å, b = 5.1620 Å, c = 6.3389 Å
α = 90.00°, β = 90.00°, γ = 120.00°
Space group P-3m1 (No. 164)
Asymmetric unit:
Sm (0.0000, 0.0000, 0.0000)
Sm (0.3333, 0.6667, 0.6461)
Ag (0.3333, 0.6667, 0.1369)
Pt (0.0000, 0.0000, 0.5000)


version b is the most stable structure; the next one sits 139 meV per atom above it.


Version a
SrAg2Pt | PBE | relaxed

Summary:
ρ = 9.713 Mg/m³
Total magnetic moment = 0.00 μB per formula unit
DOS at the Fermi energy = 2.3 states/eV/cell

a = 4.434 Å, b = 4.434 Å, c = 8.669 Å
α = 90.00°, β = 90.00°, γ = 90.00°
Space group I-4m2 (No. 119)
Asymmetric unit:
Sr (0.000, 0.000, 0.000)
Ag (0.000, 0.000, 0.500)
Ag (0.000, 0.500, 0.750)
Pt (0.000, 0.500, 0.250)


Version b
SrAg2Pt | PBE | relaxed

Summary:
ρ = 8.551 Mg/m³
Total magnetic moment = 0.00 μB per formula unit
DOS at the Fermi energy = 3.8 states/eV/cell

a = 4.376 Å, b = 4.376 Å, c = 20.217 Å
α = 90.00°, β = 90.00°, γ = 90.00°
Space group I-42d (No. 122)
Asymmetric unit:
Sr (0.000, 0.000, 0.000)
Ag (0.178, 0.250, 0.625)
Pt (0.000, 0.000, 0.500)


version a is the most stable structure; the next one sits 69 meV per atom above it.


Version a
SrAg2Pt | PBE | relaxed

Summary:
ρ = 9.631 Mg/m³
Total magnetic moment = 0.00 μB per formula unit
DOS at the Fermi energy = 5.7 states/eV/cell

a = 7.005 Å, b = 7.005 Å, c = 7.005 Å
α = 90.00°, β = 90.00°, γ = 90.00°
Space group Fm-3m (No. 225)
Asymmetric unit:
Sr (0.000, 0.000, 0.000)
Ag (0.250, 0.250, 0.250)
Pt (0.000, 0.000, 0.500)


Version b
SrAg2Pt | PBE | relaxed

Summary:
ρ = 9.346 Mg/m³
Total magnetic moment = 0.00 μB per formula unit
DOS at the Fermi energy = 1.2 states/eV/cell

a = 3.584 Å, b = 3.584 Å, c = 6.895 Å
α = 90.00°, β = 90.00°, γ = 90.00°
Space group P4mm (No. 99)
Asymmetric unit:
Sr (0.000, 0.000, 0.000)
Ag (0.000, 0.000, 0.530)
Ag (0.500, 0.500, 0.328)
Pt (0.500, 0.500, 0.739)


Version c
SrAg2Pt | PBE | relaxed

Summary:
ρ = 9.713 Mg/m³
Total magnetic moment = 0.00 μB per formula unit
DOS at the Fermi energy = 1.4 states/eV/cell

a = 10.498 Å, b = 3.949 Å, c = 4.537 Å
α = 90.00°, β = 115.03°, γ = 90.00°
Space group C2/m (No. 12)
Asymmetric unit:
Sr (0.000, 0.000, 0.000)
Ag (0.233, 0.000, 0.732)
Pt (0.000, 0.500, 0.500)


Version d
SrAg2Pt | PBE | relaxed

Summary:
ρ = 8.459 Mg/m³
Total magnetic moment = 0.00 μB per formula unit
DOS at the Fermi energy = 1.8 states/eV/cell

a = 8.176 Å, b = 4.721 Å, c = 5.751 Å
α = 90.00°, β = 118.19°, γ = 90.00°
Space group Cm (No. 8)
Asymmetric unit:
Sr (0.000, 0.000, 0.000)
Ag (0.017, 0.500, 0.551)
Ag (0.301, 0.500, 0.400)
Pt (0.200, 0.000, 0.600)


version d is the most stable structure; the next one sits 59 meV per atom above it.


Version a
SrAg2Pt | PBE | relaxed

Summary:
ρ = 9.763 Mg/m³
Total magnetic moment = 0.00 μB per formula unit
DOS at the Fermi energy = 1.0 states/eV/cell

a = 3.219 Å, b = 4.361 Å, c = 6.040 Å
α = 90.00°, β = 90.00°, γ = 90.00°
Space group Pmmm (No. 47)
Asymmetric unit:
Sr (0.000, 0.000, 0.000)
Ag (0.500, 0.500, 0.278)
Pt (0.000, 0.000, 0.500)


Version b
SrAg2Pt | PBE | relaxed

Summary:
ρ = 9.694 Mg/m³
Total magnetic moment = 0.00 μB per formula unit
DOS at the Fermi energy = 12.1 states/eV/cell

a = 3.1839 Å, b = 3.1839 Å, c = 29.1751 Å
α = 90.00°, β = 90.00°, γ = 120.00°
Space group R-3m (No. 166, hexagonal axes)
Asymmetric unit:
Sr (0.0000, 0.0000, 0.0000)
Ag (0.0000, 0.0000, 0.2414)
Pt (0.0000, 0.0000, 0.5000)


version a is the most stable structure; the next one sits 485 meV per atom above it.


Version a
SrAg2Pt | PBE | relaxed

Summary:
ρ = 9.747 Mg/m³
Total magnetic moment = 0.00 μB per formula unit
DOS at the Fermi energy = 1.4 states/eV/cell

a = 4.214 Å, b = 4.302 Å, c = 4.685 Å
α = 90.00°, β = 90.00°, γ = 90.00°
Space group Pmmm (No. 47)
Asymmetric unit:
Sr (0.000, 0.000, 0.000)
Ag (0.000, 0.500, 0.500)
Ag (0.500, 0.000, 0.500)
Pt (0.500, 0.500, 0.000)


Version b
SrAg2Pt | PBE | relaxed

Summary:
ρ = 9.440 Mg/m³
Total magnetic moment = 0.00 μB per formula unit
DOS at the Fermi energy = 1.4 states/eV/cell

a = 3.272 Å, b = 5.008 Å, c = 5.431 Å
α = 90.00°, β = 99.88°, γ = 90.00°
Space group P2/m (No. 10)
Asymmetric unit:
Sr (0.000, 0.000, 0.000)
Ag (0.349, 0.500, 0.725)
Pt (0.500, 0.000, 0.500)


version a is the most stable structure; the next one sits 70 meV per atom above it.


Version a
Sr4AgPt | PBE | relaxed

Summary:
ρ = 4.896 Mg/m³
Total magnetic moment = 0.00 μB per formula unit
DOS at the Fermi energy = 3.1 states/eV/cell

a = 5.369 Å, b = 5.376 Å, c = 7.678 Å
α = 90.00°, β = 90.14°, γ = 90.00°
Space group P2/m (No. 10)
Asymmetric unit:
Sr (0.001, 0.000, 0.263)
Sr (0.498, 0.500, 0.738)
Ag (0.000, 0.500, 0.000)
Pt (0.500, 0.000, 0.500)


Version b
Sr4AgPt | PBE | relaxed

Summary:
ρ = 4.582 Mg/m³
Total magnetic moment = 0.00 μB per formula unit
DOS at the Fermi energy = 16.2 states/eV/cell

a = 9.877 Å, b = 16.035 Å, c = 7.559 Å
α = 90.00°, β = 127.70°, γ = 90.00°
Space group C2/c (No. 15)
Asymmetric unit:
Sr (0.149, 0.208, 0.144)
Sr (0.249, 0.038, 0.742)
Ag (0.000, 0.371, 0.750)
Pt (0.000, 0.075, 0.250)


Version c
Sr4AgPt | PBE | relaxed

Summary:
ρ = 5.082 Mg/m³
Total magnetic moment = 0.00 μB per formula unit
DOS at the Fermi energy = 33.6 states/eV/cell

a = 9.487 Å, b = 9.487 Å, c = 9.487 Å
α = 90.00°, β = 90.00°, γ = 90.00°
Space group F-43m (No. 216)
Asymmetric unit:
Sr (0.124, 0.124, 0.376)
Ag (0.000, 0.000, 0.000)
Pt (0.250, 0.250, 0.750)


version b is the most stable structure; the next one sits 16 meV per atom above it.